VASP calculation (PBE-GGA) on a relaxed Th4RhPb2N2 crystal.

Its crystal system is monoclinic. For the total magnetization, the calculation gives 0.00 Bohr magnetons per cell. For the formation energy (no corrections), the calculation gives -0.98 eV/atom. Its uncorrected energy is -7.77 eV/atom. The density of states at the Fermi level is 5.491 states/eV/cell. The theoretical density is 10.38 g/cm3.

a b c (Å): 8.186 8.186 7.878
angles (deg): 108.95 108.95 28.30
Sites, in units of the cell vectors:
Th (0.038, 0.038, 0.286)
Th (0.291, 0.291, 0.346)
Th (0.709, 0.709, 0.654)
Th (0.962, 0.962, 0.714)
Rh (0.500, 0.500, 0.500)
Pb (0.368, 0.368, 0.977)
Pb (0.632, 0.632, 0.023)
N (0.181, 0.181, 0.488)
N (0.819, 0.819, 0.512)